Entry from the Alexandria database: a geometry-optimized KCr2O4 structure (GGA+U).

Summary:
**V**: 97.7 Å³/f.u.
**Magnetic moment**: 5.00 μB/f.u.
**Uncorrected energy**: -48.400 eV/cell
**SG**: P2/m

Unit cell a=5.099 b=3.033 c=6.563 alpha=90.00 beta=105.77 gamma=90.00
Atoms (fractional coordinates):
1 K 0.000 0.000 0.000
2 Cr 0.000 0.500 0.500
3 Cr 0.500 0.000 0.500
4 O 0.213 0.000 0.660
5 O 0.267 0.500 0.342
6 O 0.733 0.500 0.658
7 O 0.787 0.000 0.340